[1]
DFT (PBE) results for a relaxed ZrMnCl crystal.

Geometry as POSCAR:
```
ZrMnCl
1.0
-1.765 -3.121 0.536
1.711 -3.158 -0.496
1.411 0.963 11.071
Cl Mn Zr
2 2 2
direct
0.031 0.998 0.380 Cl
0.793 0.430 0.052 Cl
0.241 0.556 0.729 Mn
0.916 0.207 0.706 Mn
0.642 0.766 0.537 Zr
0.515 0.996 0.895 Zr
```

Values from the calculation:
**Crystal system**: monoclinic
**Space-group type**: Cm
**Total energy**: -7.3548 eV/atom
**E_form (uncorrected)**: -833 meV/atom

---

[2]
DFT (PBE) results for a relaxed PbW3 crystal.

Geometry as POSCAR:
```
PbW3
1.0
5.908 0.000 0.000
-2.954 5.116 0.000
0.000 0.000 9.498
W Pb
12 4
direct
0.815 0.185 0.250 W
0.500 0.000 0.500 W
0.185 0.815 0.750 W
0.369 0.185 0.250 W
0.500 0.000 0.000 W
0.815 0.631 0.250 W
0.500 0.500 0.500 W
0.000 0.500 0.500 W
0.631 0.815 0.750 W
0.500 0.500 0.000 W
0.000 0.500 0.000 W
0.185 0.369 0.750 W
0.667 0.333 0.750 Pb
0.000 0.000 0.500 Pb
0.333 0.667 0.250 Pb
0.000 0.000 0.000 Pb
```

Values from the calculation:
**Crystal system**: hexagonal
**Space-group type**: P6_3/mmc
**E above lowest polymorph**: 0.1776 eV per atom
**Total energy**: -9.7761 eV/atom

---

- Which value of total energy does entry 1 give?
  -7.3548 eV/atom